1.
Computed, not measured: a geometry-optimized Pm2SmPaN4 structure at the PBE level of DFT.

```
Pm2SmPaN4
1.0
6.169 0.000 0.000
0.000 3.583 0.000
-2.033 0.000 5.839
Pm Sm Pa N
2 1 1 4
direct
0.000 0.000 0.000
0.500 0.500 0.000
0.000 0.500 0.500
0.500 0.000 0.500
0.265 0.000 0.732
0.272 0.500 0.273
0.728 0.500 0.727
0.735 0.000 0.268
```

Calculated values
Mass density = 9.4 g/cm³
Space group = No. 10
M_tot = 0.00 Bohr magnetons per cell

---

2.
Computed, not measured: a geometry-optimized PmPa2SnN5 structure at the PBE level of DFT.

```
PmPa2SnN5
1.0
1.786 -7.456 0.000
1.786 7.456 0.000
0.000 0.000 12.057
Pm Pa Sn N
2 4 2 10
direct
0.240 0.760 0.500
0.760 0.240 0.000
0.143 0.857 0.227
0.148 0.852 0.775
0.852 0.148 0.275
0.857 0.143 0.727
0.493 0.507 0.066
0.507 0.493 0.566
0.012 0.988 0.687
0.286 0.714 0.155
0.299 0.701 0.842
0.362 0.638 0.376
0.367 0.633 0.618
0.633 0.367 0.118
0.638 0.362 0.876
0.701 0.299 0.342
0.714 0.286 0.655
0.988 0.012 0.187
```

Calculated values
Mass density = 8.2 g/cm³
Space group = No. 36
M_tot = 0.00 Bohr magnetons per cell

---

3.
Computed, not measured: a geometry-optimized Sr3Pm2PaN6 structure at the PBE level of DFT.

```
Sr3Pm2PaN6
1.0
3.165 -5.477 0.000
3.165 5.477 0.000
-2.117 0.000 6.052
Sr Pm Pa N
3 2 1 6
direct
0.000 0.000 0.000
0.333 0.667 0.000
0.667 0.333 0.000
0.167 0.833 0.500
0.833 0.167 0.500
0.500 0.500 0.500
0.119 0.430 0.289
0.260 0.260 0.710
0.430 0.119 0.289
0.570 0.881 0.711
0.740 0.740 0.290
0.881 0.570 0.711
```

Calculated values
Mass density = 6.9 g/cm³
Space group = No. 12
M_tot = 0.91 Bohr magnetons per cell

---

4.
Computed, not measured: a geometry-optimized Sr3PmPa3N8 structure at the PBE level of DFT.

```
Sr3PmPa3N8
1.0
3.603 2.080 6.020
-3.603 2.080 6.020
0.000 -4.160 6.020
Sr Pm Pa N
3 1 3 8
direct
0.000 0.500 0.500
0.500 0.000 0.500
0.500 0.500 0.000
0.500 0.500 0.500
0.000 0.000 0.500
0.000 0.500 0.000
0.500 0.000 0.000
0.212 0.736 0.736
0.237 0.237 0.237
0.264 0.264 0.788
0.264 0.788 0.264
0.736 0.212 0.736
0.736 0.736 0.212
0.763 0.763 0.763
0.788 0.264 0.264
```

Calculated values
Mass density = 7.4 g/cm³
Space group = No. 166
M_tot = 0.00 Bohr magnetons per cell

---

5.
Computed, not measured: a geometry-optimized Sr2PmPaN4 structure at the PBE level of DFT.

```
Sr2PmPaN4
1.0
6.281 0.000 0.000
0.000 3.664 0.000
-2.083 0.000 6.044
Sr Pm Pa N
2 1 1 4
direct
0.000 0.000 0.000
0.500 0.500 0.000
0.000 0.500 0.500
0.500 0.000 0.500
0.263 0.000 0.706
0.280 0.500 0.294
0.720 0.500 0.706
0.737 0.000 0.294
```

Calculated values
Mass density = 7.3 g/cm³
Space group = No. 10
M_tot = 0.00 Bohr magnetons per cell

---

6.
Computed, not measured: a geometry-optimized Pm3Pa2TaN6 structure at the PBE level of DFT.

```
Pm3Pa2TaN6
1.0
2.999 -5.181 0.000
2.999 5.181 0.000
-1.979 0.000 5.741
Pm Pa Ta N
3 2 1 6
direct
0.000 0.000 0.000
0.336 0.664 0.000
0.664 0.336 0.000
0.166 0.834 0.500
0.834 0.166 0.500
0.500 0.500 0.500
0.110 0.431 0.292
0.251 0.251 0.714
0.431 0.110 0.292
0.569 0.890 0.708
0.749 0.749 0.286
0.890 0.569 0.708
```

Calculated values
Mass density = 10.8 g/cm³
Space group = No. 12
M_tot = 0.00 Bohr magnetons per cell

---

7.
Computed, not measured: a geometry-optimized Pm2PaTaN4 structure at the PBE level of DFT.

```
Pm2PaTaN4
1.0
5.916 0.000 0.000
0.000 3.403 0.000
-1.901 0.000 5.714
Pm Pa Ta N
2 1 1 4
direct
0.000 0.000 0.000
0.500 0.500 0.000
0.000 0.500 0.500
0.500 0.000 0.500
0.256 0.000 0.710
0.279 0.500 0.297
0.721 0.500 0.703
0.744 0.000 0.290
```

Calculated values
Mass density = 10.9 g/cm³
Space group = No. 10
M_tot = 0.00 Bohr magnetons per cell

---

8.
Computed, not measured: a geometry-optimized Pm3Pa3TaN8 structure at the PBE level of DFT.

```
Pm3Pa3TaN8
1.0
3.462 1.999 5.746
-3.462 1.999 5.746
0.000 -3.997 5.746
Pm Pa Ta N
3 3 1 8
direct
0.000 0.500 0.500
0.500 0.000 0.500
0.500 0.500 0.000
0.000 0.000 0.500
0.000 0.500 0.000
0.500 0.000 0.000
0.500 0.500 0.500
0.241 0.241 0.241
0.258 0.721 0.721
0.279 0.279 0.742
0.279 0.742 0.279
0.721 0.258 0.721
0.721 0.721 0.258
0.742 0.279 0.279
0.759 0.759 0.759
```

Calculated values
Mass density = 9.9 g/cm³
Space group = No. 166
M_tot = 0.00 Bohr magnetons per cell

---

9.
Computed, not measured: a geometry-optimized PmPaTaN3 structure at the PBE level of DFT.

```
PmPaTaN3
1.0
7.267 0.000 0.000
0.000 3.368 0.000
-0.399 0.000 7.998
Pm Pa Ta N
2 2 2 6
direct
0.135 0.250 0.166
0.865 0.750 0.834
0.373 0.750 0.834
0.627 0.250 0.166
0.134 0.250 0.568
0.866 0.750 0.432
0.137 0.250 0.846
0.176 0.750 0.422
0.404 0.750 0.107
0.596 0.250 0.893
0.824 0.250 0.578
0.863 0.750 0.154
```

Calculated values
Mass density = 10.2 g/cm³
Space group = No. 11
M_tot = 0.01 Bohr magnetons per cell

---

10.
Computed, not measured: a geometry-optimized TbPmPa2N4 structure at the PBE level of DFT.

```
TbPmPa2N4
1.0
6.102 0.000 0.000
0.000 3.528 0.000
-2.052 0.000 5.771
Tb Pm Pa N
1 1 2 4
direct
0.000 0.000 0.000
0.000 0.500 0.500
0.500 0.000 0.500
0.500 0.500 0.000
0.272 0.500 0.252
0.276 0.000 0.765
0.724 0.000 0.235
0.728 0.500 0.748
```

Calculated values
Mass density = 11.0 g/cm³
Space group = No. 10
M_tot = 0.00 Bohr magnetons per cell

---

11.
Computed, not measured: a geometry-optimized TbPm3Pa2N6 structure at the PBE level of DFT.

```
TbPm3Pa2N6
1.0
3.070 -5.320 0.000
3.070 5.320 0.000
-2.044 0.000 5.825
Tb Pm Pa N
1 3 2 6
direct
0.000 0.000 0.000
0.166 0.834 0.500
0.500 0.500 0.500
0.834 0.166 0.500
0.333 0.667 0.000
0.667 0.333 0.000
0.074 0.421 0.222
0.273 0.273 0.778
0.421 0.074 0.222
0.579 0.926 0.778
0.727 0.727 0.222
0.926 0.579 0.778
```

Calculated values
Mass density = 9.9 g/cm³
Space group = No. 12
M_tot = 0.00 Bohr magnetons per cell

---

12.
Computed, not measured: a geometry-optimized TbPm4Pa3N8 structure at the PBE level of DFT.

```
TbPm4Pa3N8
1.0
3.548 2.049 5.821
-3.548 2.049 5.821
0.000 -4.097 5.821
Tb Pm Pa N
1 4 3 8
direct
0.000 0.000 0.000
0.000 0.000 0.500
0.000 0.500 0.000
0.500 0.000 0.000
0.500 0.500 0.500
0.000 0.500 0.500
0.500 0.000 0.500
0.500 0.500 0.000
0.246 0.246 0.728
0.246 0.728 0.246
0.261 0.261 0.261
0.272 0.754 0.754
0.728 0.246 0.246
0.739 0.739 0.739
0.754 0.272 0.754
0.754 0.754 0.272
```

Calculated values
Mass density = 10.1 g/cm³
Space group = No. 166
M_tot = 0.00 Bohr magnetons per cell

---

| no. | calculated volume (Å³ per atom) | E_form (uncorrected) (meV per atom) |
| --- | --- | --- |
| 1 | 16.13 | -1562.0 |
| 2 | 17.84 | -1152.5 |
| 3 | 17.48 | -1158.5 |
| 4 | 18.05 | -1291.9 |
| 5 | 17.38 | -1307.7 |
| 6 | 14.87 | -1485.1 |
| 7 | 14.38 | -1416.7 |
| 8 | 15.90 | -1463.5 |
| 9 | 16.31 | -1100.7 |
| 10 | 15.53 | -1621.2 |
| 11 | 15.86 | -1615.9 |
| 12 | 15.87 | -1606.2 |